1.
24
Lattice="2.787 -5.841 0.000 2.787 5.841 0.000 0.000 0.000 12.751" Properties=species:S:1:pos:R:3 comment="Ba2PN3 PBE optimized geometry" e_form_raw_ev_per_atom=-0.826 dft_energy_ev_per_atom=-6.53 pbc="T T T"
Ba 2.787 5.232 10.927
Ba 2.787 4.171 5.409
Ba 2.787 1.670 11.784
Ba 2.787 0.609 4.551
Ba 2.787 -0.609 8.200
Ba 2.787 -1.670 0.966
Ba 2.787 -4.171 7.342
Ba 2.787 -5.232 1.824
P 2.787 3.050 8.588
P 2.787 2.791 2.213
P 2.787 -2.791 10.538
P 2.787 -3.050 4.162
N 1.393 2.629 9.563
N 2.787 4.667 8.265
N 2.787 3.788 0.919
N 2.787 2.053 7.294
N 2.787 1.174 1.890
N 1.393 -2.629 3.188
N 4.180 2.629 9.563
N 2.787 -1.174 10.861
N 2.787 -2.053 5.456
N 2.787 -3.788 11.832
N 2.787 -4.667 4.486
N 4.180 -2.629 3.188

2.
7
Lattice="-2.611 2.611 8.525 2.611 -2.611 8.525 2.611 2.611 -8.525" Properties=species:S:1:pos:R:3 comment="Ba4P2N PBE optimized geometry" e_form_raw_ev_per_atom=-0.683 dft_energy_ev_per_atom=-4.52 pbc="T T T"
Ba 2.611 0.000 0.000
Ba 0.000 0.000 3.019
Ba 0.000 2.611 0.000
Ba 0.000 0.000 14.031
P 0.000 0.000 6.228
P 0.000 0.000 10.823
N 0.000 0.000 0.000

3.
4
Lattice="2.216 1.279 5.688 -2.216 1.279 5.688 0.000 -2.559 5.688" Properties=species:S:1:pos:R:3 comment="BaPN2 PBE optimized geometry" e_form_raw_ev_per_atom=-0.308 dft_energy_ev_per_atom=-6.30 pbc="T T T"
Ba 0.000 0.000 0.000
P 0.000 0.000 8.532
N 0.000 0.000 6.983
N 0.000 0.000 10.080

4.
24
Lattice="12.131 0.000 0.000 0.000 5.050 0.000 0.000 0.000 4.850" Properties=species:S:1:pos:R:3 comment="BaP4N7 PBE optimized geometry" e_form_raw_ev_per_atom=-0.476 dft_energy_ev_per_atom=-7.30 pbc="T T T"
Ba 0.000 1.065 0.000
Ba 6.066 3.985 2.425
P 1.470 3.411 2.480
P 3.007 4.085 0.023
P 3.059 0.965 2.448
P 4.596 1.639 0.055
P 7.536 1.639 0.055
P 9.072 0.965 2.448
P 9.125 4.085 0.023
P 10.661 3.411 2.480
N 0.000 3.833 1.960
N 1.645 3.786 4.053
N 1.702 1.817 2.185
N 2.615 4.328 1.630
N 3.450 0.721 4.055
N 4.364 3.233 4.610
N 4.420 1.263 1.628
N 6.066 1.217 4.385
N 7.711 1.263 1.628
N 7.768 3.233 4.610
N 8.681 0.721 4.055
N 9.516 4.328 1.630
N 10.429 1.817 2.185
N 10.486 3.786 4.053

5.
6
Lattice="7.655 0.000 0.000 0.000 4.346 0.000 -2.152 0.000 7.814" Properties=species:S:1:pos:R:3 comment="Ba4PN PBE optimized geometry" e_form_raw_ev_per_atom=-0.566 dft_energy_ev_per_atom=-4.14 pbc="T T T"
Ba 1.109 0.000 1.542
Ba 0.143 2.173 6.167
Ba 5.360 2.173 1.647
Ba 4.394 0.000 6.273
P 3.827 0.000 0.000
N 0.000 2.173 0.000

6.
8
Lattice="4.632 0.000 0.000 -0.647 6.395 0.000 -0.648 -2.765 5.773" Properties=species:S:1:pos:R:3 comment="BaPN2 PBE optimized geometry" e_form_raw_ev_per_atom=-0.511 dft_energy_ev_per_atom=-6.51 pbc="T T T"
Ba 0.835 0.251 1.857
Ba 2.502 3.379 3.916
P 0.184 0.465 5.753
P 3.154 3.164 0.020
N -0.342 4.394 0.213
N 1.363 0.755 4.600
N 1.974 2.875 1.173
N 3.679 -0.765 5.561

7.
9
Lattice="9.793 -2.127 0.000 9.793 2.127 0.000 -3.061 0.000 8.838" Properties=species:S:1:pos:R:3 comment="Ba6PN2 PBE optimized geometry" e_form_raw_ev_per_atom=-0.505 dft_energy_ev_per_atom=-4.24 de_polymorph_mev_per_atom=0.0 pbc="T T T"
Ba -0.412 0.000 2.227
Ba 4.887 0.000 4.000
Ba 3.849 0.000 7.660
Ba 12.677 0.000 1.178
Ba 11.639 0.000 4.839
Ba 16.938 0.000 6.611
P 9.793 0.000 0.000
N 2.344 0.000 3.027
N 14.181 0.000 5.812

8.
19
Lattice="6.935 4.004 4.452 -6.935 4.004 4.452 0.000 -8.008 4.452" Properties=species:S:1:pos:R:3 comment="Ba12P6N PBE optimized geometry" e_form_raw_ev_per_atom=-0.795 dft_energy_ev_per_atom=-4.16 pbc="T T T"
Ba -4.513 -4.551 7.463
Ba -6.198 1.633 5.894
Ba -1.754 -2.202 5.370
Ba 1.685 -6.184 5.894
Ba -2.784 0.418 7.987
Ba -1.030 2.620 5.370
Ba 1.030 -2.620 7.987
Ba 2.784 -0.418 5.370
Ba -1.685 6.184 7.463
Ba 1.754 2.202 7.987
Ba 6.198 -1.633 7.463
Ba 4.513 4.551 5.894
P -3.355 0.638 4.591
P 1.125 -3.224 4.591
P -2.230 -2.586 8.767
P 2.230 2.586 4.591
P -1.125 3.224 8.767
P 3.355 -0.638 8.767
N 0.000 0.000 0.000